Er2Co3Ru | PBE | optimized geometry

Cell lengths 8.815, 5.080, 5.121 Å; angles 90.00, 124.89, 90.00 degrees
Space group C2/m (No. 12)
Symmetry-distinct sites (fractional):
1 Er 0.125 0.000 0.375 (multiplicity 4)
2 Co 0.000 0.500 0.000 (multiplicity 2)
3 Co 0.250 0.250 0.000 (multiplicity 4)
4 Ru 0.000 0.500 0.500 (multiplicity 2)

Computed properties:
As for the energy of formation from the pure elements: -0.266 eV per atom.

Er5Co2Ru | PBE | optimized geometry

Cell lengths 7.045, 7.045, 14.039 Å; angles 90.00, 90.00, 90.00 degrees
Space group I4/mcm (No. 140)
Symmetry-distinct sites (fractional):
1 Er 0.000 0.000 0.000 (multiplicity 4)
2 Er 0.179 0.321 0.142 (multiplicity 16)
3 Co 0.113 0.387 0.500 (multiplicity 8)
4 Ru 0.000 0.000 0.250 (multiplicity 4)

Computed properties:
As for the energy of formation from the pure elements: -0.310 eV per atom.

Er3Co2Ru | PBE | optimized geometry

Cell lengths 3.341, 3.341, 9.908 Å; angles 90.00, 90.00, 90.00 degrees
Space group P4/mmm (No. 123)
Symmetry-distinct sites (fractional):
1 Er 0.000 0.000 0.000 (multiplicity 1)
2 Er 0.000 0.000 0.331 (multiplicity 2)
3 Co 0.500 0.500 0.162 (multiplicity 2)
4 Ru 0.500 0.500 0.500 (multiplicity 1)

Computed properties:
As for the energy of formation from the pure elements: -0.267 eV per atom.

Er4CoRu | PBE | optimized geometry

Cell lengths 8.735, 12.829, 6.055 Å; angles 90.00, 124.03, 90.00 degrees
Space group C2/c (No. 15)
Symmetry-distinct sites (fractional):
1 Er 0.130 0.179 0.099 (multiplicity 8)
2 Er 0.199 0.439 0.272 (multiplicity 8)
3 Co 0.000 0.000 0.250 (multiplicity 4)
4 Ru 0.000 0.365 0.750 (multiplicity 4)

Computed properties:
For the energy above the most stable polymorph in this dataset, the calculation gives 0 meV/atom. As for the energy of formation from the pure elements: -0.296 eV per atom.

Er3CoRu | PBE | optimized geometry

Cell lengths 4.219, 8.615, 5.971 Å; angles 90.00, 90.00, 90.00 degrees
Space group Pmmn (No. 59, origin choice 2)
Symmetry-distinct sites (fractional):
1 Er 0.250 0.050 0.247 (multiplicity 4)
2 Er 0.250 0.250 0.748 (multiplicity 2)
3 Co 0.250 0.750 0.534 (multiplicity 2)
4 Ru 0.250 0.750 0.942 (multiplicity 2)

Computed properties:
For the energy above the most stable polymorph in this dataset, the calculation gives 0 meV/atom. As for the energy of formation from the pure elements: -0.284 eV per atom.

Er3Co3Ru | PBE | optimized geometry

Cell lengths 4.098, 10.002, 12.498 Å; angles 90.00, 90.00, 90.00 degrees
Space group Cmcm (No. 63)
Symmetry-distinct sites (fractional):
1 Er 0.000 0.011 0.250 (multiplicity 4)
2 Er 0.000 0.280 0.605 (multiplicity 8)
3 Co 0.000 0.312 0.250 (multiplicity 4)
4 Co 0.000 0.430 0.091 (multiplicity 8)
5 Ru 0.000 0.000 0.000 (multiplicity 4)

Computed properties:
As for the energy of formation from the pure elements: -0.273 eV per atom.

Er6Co2Ru | PBE | optimized geometry

Cell lengths 6.447, 6.982, 11.264 Å; angles 90.00, 122.30, 90.00 degrees
Space group P2_1/c (No. 14)
Symmetry-distinct sites (fractional):
1 Er 0.072 0.038 0.241 (multiplicity 4)
2 Er 0.227 0.665 0.079 (multiplicity 4)
3 Er 0.396 0.166 0.076 (multiplicity 4)
4 Co 0.331 0.147 0.800 (multiplicity 4)
5 Ru 0.500 0.000 0.500 (multiplicity 2)

Computed properties:
For the energy above the most stable polymorph in this dataset, the calculation gives 60 meV/atom. As for the energy of formation from the pure elements: -0.196 eV per atom.

ErCoRu | PBE | optimized geometry

Cell lengths 5.128, 5.171, 7.389 Å; angles 90.00, 90.00, 90.00 degrees
Space group Imma (No. 74)
Symmetry-distinct sites (fractional):
1 Er 0.000 0.250 0.126 (multiplicity 4)
2 Co 0.250 0.250 0.750 (multiplicity 4)
3 Ru 0.000 0.000 0.500 (multiplicity 4)

Computed properties:
For the energy above the most stable polymorph in this dataset, the calculation gives 0 meV/atom. As for the energy of formation from the pure elements: -0.297 eV per atom.

Er8Co2Ru | PBE | optimized geometry

Cell lengths 16.865, 4.877, 6.625 Å; angles 90.00, 107.36, 90.00 degrees
Space group C2/m (No. 12)
Symmetry-distinct sites (fractional):
1 Er 0.035 0.000 0.294 (multiplicity 4)
2 Er 0.095 0.500 0.953 (multiplicity 4)
3 Er 0.172 0.500 0.473 (multiplicity 4)
4 Er 0.201 0.000 0.820 (multiplicity 4)
5 Co 0.187 0.000 0.202 (multiplicity 4)
6 Ru 0.000 0.500 0.500 (multiplicity 2)

Computed properties:
For the energy above the most stable polymorph in this dataset, the calculation gives 0 meV/atom. As for the energy of formation from the pure elements: -0.191 eV per atom.

Er4CoRu2 | PBE | optimized geometry

Cell lengths 4.7583, 4.7583, 22.9116 Å; angles 90.00, 90.00, 120.00 degrees
Space group R-3m (No. 166, hexagonal axes)
Symmetry-distinct sites (fractional):
1 Er 0.0000 0.0000 0.1245 (multiplicity 6)
2 Er 0.0000 0.0000 0.3751 (multiplicity 6)
3 Co 0.0000 0.0000 0.5000 (multiplicity 3)
4 Ru 0.0000 0.0000 0.2480 (multiplicity 6)

Computed properties:
As for the energy of formation from the pure elements: -0.279 eV per atom.

Er2Co2Ru | PBE | optimized geometry

Cell lengths 6.483, 6.483, 4.171 Å; angles 90.00, 90.00, 90.00 degrees
Space group P4/mbm (No. 127)
Symmetry-distinct sites (fractional):
1 Er 0.184 0.316 0.000 (multiplicity 4)
2 Co 0.123 0.623 0.500 (multiplicity 4)
3 Ru 0.000 0.000 0.500 (multiplicity 2)

Computed properties:
As for the energy of formation from the pure elements: -0.157 eV per atom.

Er4CoRu | PBE | optimized geometry

Cell lengths 8.896, 8.896, 8.033 Å; angles 90.00, 90.00, 90.00 degrees
Space group I4_1md (No. 109)
Symmetry-distinct sites (fractional):
1 Er 0.000 0.198 0.000 (multiplicity 8)
2 Er 0.000 0.204 0.492 (multiplicity 8)
3 Co 0.000 0.000 0.249 (multiplicity 4)
4 Ru 0.000 0.000 0.743 (multiplicity 4)

Computed properties:
For the energy above the most stable polymorph in this dataset, the calculation gives 122 meV/atom. As for the energy of formation from the pure elements: -0.174 eV per atom.

ErScCoRu | PBE | optimized geometry

Cell lengths 6.508, 6.508, 6.508 Å; angles 90.00, 90.00, 90.00 degrees
Space group F-43m (No. 216)
Symmetry-distinct sites (fractional):
1 Er 0.000 0.000 0.000 (multiplicity 4)
2 Sc 0.000 0.000 0.500 (multiplicity 4)
3 Co 0.250 0.250 0.750 (multiplicity 4)
4 Ru 0.250 0.250 0.250 (multiplicity 4)

Computed properties:
As for the energy of formation from the pure elements: -0.372 eV per atom.

ErCoSi3Ru | PBE | optimized geometry

Cell lengths 7.256, 10.961, 5.339 Å; angles 90.00, 90.00, 90.00 degrees
Space group Cmcm (No. 63)
Symmetry-distinct sites (fractional):
1 Er 0.000 0.234 0.250 (multiplicity 4)
2 Co 0.000 0.043 0.750 (multiplicity 4)
3 Si 0.000 0.232 0.750 (multiplicity 4)
4 Si 0.244 0.000 0.000 (multiplicity 8)
5 Ru 0.000 0.432 0.750 (multiplicity 4)

Computed properties:
Its uncorrected formation energy is -377 meV per atom.

SmErCoRu | PBE | optimized geometry

Cell lengths 6.786, 6.786, 6.786 Å; angles 90.00, 90.00, 90.00 degrees
Space group F-43m (No. 216)
Symmetry-distinct sites (fractional):
1 Sm 0.000 0.000 0.000 (multiplicity 4)
2 Er 0.000 0.000 0.500 (multiplicity 4)
3 Co 0.250 0.250 0.750 (multiplicity 4)
4 Ru 0.250 0.250 0.250 (multiplicity 4)

Computed properties:
As for the energy of formation from the pure elements: -0.183 eV per atom.

ErCoSnRu | PBE | optimized geometry

Cell lengths 6.484, 6.484, 6.484 Å; angles 90.00, 90.00, 90.00 degrees
Space group F-43m (No. 216)
Symmetry-distinct sites (fractional):
1 Er 0.000 0.000 0.000 (multiplicity 4)
2 Co 0.250 0.250 0.750 (multiplicity 4)
3 Sn 0.000 0.000 0.500 (multiplicity 4)
4 Ru 0.250 0.250 0.250 (multiplicity 4)

Computed properties:
As for the energy of formation from the pure elements: -0.346 eV per atom.

TbErCoRu | PBE | optimized geometry

Cell lengths 6.726, 6.726, 6.726 Å; angles 90.00, 90.00, 90.00 degrees
Space group F-43m (No. 216)
Symmetry-distinct sites (fractional):
1 Tb 0.000 0.000 0.000 (multiplicity 4)
2 Er 0.000 0.000 0.500 (multiplicity 4)
3 Co 0.250 0.250 0.750 (multiplicity 4)
4 Ru 0.250 0.250 0.250 (multiplicity 4)

Computed properties:
For the energy above the most stable polymorph in this dataset, the calculation gives 0 meV/atom. As for the energy of formation from the pure elements: -0.256 eV per atom.

TbErCoRu | PBE | optimized geometry

Cell lengths 3.363, 4.742, 4.767 Å; angles 90.00, 90.00, 90.00 degrees
Space group Pmmm (No. 47)
Symmetry-distinct sites (fractional):
1 Tb 0.000 0.000 0.000 (multiplicity 1)
2 Er 0.000 0.500 0.500 (multiplicity 1)
3 Co 0.500 0.500 0.000 (multiplicity 1)
4 Ru 0.500 0.000 0.500 (multiplicity 1)

Computed properties:
For the energy above the most stable polymorph in this dataset, the calculation gives 5 meV/atom. As for the energy of formation from the pure elements: -0.252 eV per atom.

ErZrCoRu | PBE | optimized geometry

Cell lengths 3.293, 3.293, 6.549 Å; angles 90.00, 90.00, 90.00 degrees
Space group P4mm (No. 99)
Symmetry-distinct sites (fractional):
1 Er 0.000 0.000 0.000 (multiplicity 1)
2 Zr 0.000 0.000 0.509 (multiplicity 1)
3 Co 0.500 0.500 0.734 (multiplicity 1)
4 Ru 0.500 0.500 0.271 (multiplicity 1)

Computed properties:
For the energy above the most stable polymorph in this dataset, the calculation gives 0 meV/atom. As for the energy of formation from the pure elements: -0.423 eV per atom.

ErZrCoRu | PBE | optimized geometry

Cell lengths 6.576, 6.576, 6.576 Å; angles 90.00, 90.00, 90.00 degrees
Space group F-43m (No. 216)
Symmetry-distinct sites (fractional):
1 Er 0.000 0.000 0.000 (multiplicity 4)
2 Zr 0.000 0.000 0.500 (multiplicity 4)
3 Co 0.250 0.250 0.250 (multiplicity 4)
4 Ru 0.250 0.250 0.750 (multiplicity 4)

Computed properties:
For the energy above the most stable polymorph in this dataset, the calculation gives 40 meV/atom. As for the energy of formation from the pure elements: -0.383 eV per atom.

Er7CoS5 | PBE | optimized geometry

Cell lengths 3.782, 12.737, 23.237 Å; angles 90.00, 90.00, 90.00 degrees
Space group Cmc2_1 (No. 36)
Symmetry-distinct sites (fractional):
1 Er 0.000 0.043 0.000 (multiplicity 4)
2 Er 0.000 0.138 0.713 (multiplicity 4)
3 Er 0.000 0.140 0.287 (multiplicity 4)
4 Er 0.000 0.300 0.930 (multiplicity 4)
5 Er 0.000 0.301 0.070 (multiplicity 4)
6 Er 0.000 0.409 0.636 (multiplicity 4)
7 Er 0.000 0.410 0.364 (multiplicity 4)
8 Co 0.000 0.308 0.501 (multiplicity 4)
9 S 0.000 0.054 0.392 (multiplicity 4)
10 S 0.000 0.054 0.608 (multiplicity 4)
11 S 0.000 0.223 0.821 (multiplicity 4)
12 S 0.000 0.224 0.179 (multiplicity 4)
13 S 0.000 0.499 0.750 (multiplicity 4)

Computed properties:
Its uncorrected formation energy is -1554 meV per atom.

Number 1: DFT total energy -6.8860 eV/atom, N(E_F) 15.852 states/eV/cell. Number 2: DFT total energy -6.0974 eV/atom, N(E_F) 22.274 states/eV/cell. Number 3: DFT total energy -6.4626 eV/atom, N(E_F) 5.099 states/eV/cell. Number 4: DFT total energy -6.0683 eV/atom, N(E_F) 20.800 states/eV/cell. Number 5: DFT total energy -6.2985 eV/atom, N(E_F) 7.260 states/eV/cell. Number 6: DFT total energy -6.5986 eV/atom, N(E_F) 22.915 states/eV/cell. Number 7: DFT total energy -5.8478 eV/atom, N(E_F) 12.407 states/eV/cell. Number 8: DFT total energy -7.2790 eV/atom, N(E_F) 14.257 states/eV/cell. Number 9: DFT total energy -5.6452 eV/atom, N(E_F) 22.294 states/eV/cell. Number 10: DFT total energy -6.5515 eV/atom, N(E_F) 20.053 states/eV/cell. Number 11: DFT total energy -6.6793 eV/atom, N(E_F) 12.663 states/eV/cell. Number 12: DFT total energy -5.9463 eV/atom, N(E_F) 15.970 states/eV/cell. Number 13: DFT total energy -7.1908 eV/atom, N(E_F) 13.417 states/eV/cell. Number 14: DFT total energy -6.5794 eV/atom, N(E_F) 14.949 states/eV/cell. Number 15: DFT total energy -6.5994 eV/atom, N(E_F) 15.006 states/eV/cell. Number 16: DFT total energy -6.5833 eV/atom, N(E_F) 3.629 states/eV/cell. Number 17: DFT total energy -6.6501 eV/atom, N(E_F) 15.090 states/eV/cell. Number 18: DFT total energy -6.6453 eV/atom, N(E_F) 2.313 states/eV/cell. Number 19: DFT total energy -7.7961 eV/atom, N(E_F) 1.531 states/eV/cell. Number 20: DFT total energy -7.7561 eV/atom, N(E_F) 7.385 states/eV/cell. Number 21: DFT total energy -6.1451 eV/atom, N(E_F) 22.721 states/eV/cell.